[1]
Computed, not measured: B3Ir after structural relaxation at the GGA-PBE level of DFT.

Lattice parameters (Å, degrees): 2.9204 2.9204 4.6431 90.00 90.00 120.00
Space group P-6m2 (No. 187)
Inequivalent atoms, fractional coordinates:
B 0.0000 0.0000 0.0000 x1
B 0.3333 0.6667 0.1714 x2
Ir 0.0000 0.0000 0.5000 x1

Computed properties:
Electronic total energy: -7.23 eV per atom
Total magnetic moment: 0.001 μB per atom


[2]
Computed, not measured: MgUSi after structural relaxation at the GGA-PBE level of DFT.

Lattice parameters (Å, degrees): 6.5533 6.5533 6.5533 90.00 90.00 90.00
Space group F-43m (No. 216)
Inequivalent atoms, fractional coordinates:
Mg 0.0000 0.0000 0.0000 x4
U 0.0000 0.0000 0.5000 x4
Si 0.2500 0.2500 0.2500 x4

Computed properties:
Electronic total energy: -5.84 eV per atom
Total magnetic moment: 1.106 μB per atom


[3]
Computed, not measured: PaPbO3 after structural relaxation at the GGA-PBE level of DFT.

Lattice parameters (Å, degrees): 6.2970 8.7360 6.0538 90.00 90.00 90.00
Space group Pnma (No. 62)
Inequivalent atoms, fractional coordinates:
Pa 0.0000 0.0000 0.0000 x4
Pb 0.0362 0.2500 0.4906 x4
O 0.0324 0.7500 0.1176 x4
O 0.1896 0.5560 0.6835 x8

Computed properties:
Electronic total energy: -7.76 eV per atom
Total magnetic moment: 0.200 μB per atom


[4]
Computed, not measured: ErTlSeS after structural relaxation at the GGA-PBE level of DFT.

Lattice parameters (Å, degrees): 4.0739 4.0739 22.9713 90.00 90.00 120.00
Space group R3m (No. 160, hexagonal axes)
Inequivalent atoms, fractional coordinates:
Er 0.0000 0.0000 0.0000 x3
Tl 0.0000 0.0000 0.4958 x3
Se 0.0000 0.0000 0.2618 x3
S 0.0000 0.0000 0.7282 x3

Computed properties:
Electronic total energy: -5.07 eV per atom
Total magnetic moment: 0.000 μB per atom


[5]
Computed, not measured: La2PrIn3AgPd2 after structural relaxation at the GGA-PBE level of DFT.

Lattice parameters (Å, degrees): 4.0849 13.7281 7.8951 90.00 90.00 90.00
Space group Amm2 (No. 38)
Inequivalent atoms, fractional coordinates:
La 0.0000 0.2076 0.0000 x4
Pr 0.0000 0.0000 0.6198 x2
In 0.5000 0.0000 0.9462 x2
In 0.5000 0.1275 0.3371 x4
Ag 0.0000 0.0000 0.2058 x2
Pd 0.5000 0.1680 0.7079 x4

Computed properties:
Electronic total energy: -4.69 eV per atom
Total magnetic moment: 0.001 μB per atom


[6]
Computed, not measured: RbReNO after structural relaxation at the GGA-PBE level of DFT.

Lattice parameters (Å, degrees): 3.8604 6.1696 6.3218 90.00 90.00 90.00
Space group Pmc2_1 (No. 26)
Inequivalent atoms, fractional coordinates:
Rb 0.0000 0.1860 0.0000 x2
Re 0.5000 0.3429 0.5046 x2
N 0.5000 0.4927 0.2505 x2
O 0.0000 0.2997 0.5068 x2

Computed properties:
Electronic total energy: -7.21 eV per atom
Total magnetic moment: 0.005 μB per atom


[7]
Computed, not measured: SiIrNO after structural relaxation at the GGA-PBE level of DFT.

Lattice parameters (Å, degrees): 3.6306 3.6306 8.0246 90.00 90.00 90.00
Space group P4/nmm (No. 129, origin choice 2)
Inequivalent atoms, fractional coordinates:
Si 0.2500 0.2500 0.1146 x2
Ir 0.2500 0.7500 0.5000 x2
N 0.2500 0.2500 0.6297 x2
O 0.2500 0.7500 0.0000 x2

Computed properties:
Electronic total energy: -6.79 eV per atom
Total magnetic moment: 0.000 μB per atom


[8]
Computed, not measured: PaHgNO after structural relaxation at the GGA-PBE level of DFT.

Lattice parameters (Å, degrees): 7.3059 7.3792 4.7079 90.00 90.00 90.00
Space group Cmme (No. 67)
Inequivalent atoms, fractional coordinates:
Pa 0.2500 0.0000 0.0000 x4
Hg 0.0000 0.2500 0.4956 x4
N 0.0000 0.2500 0.9951 x4
O 0.2500 0.0000 0.5000 x4

Computed properties:
Electronic total energy: -6.28 eV per atom
Total magnetic moment: 0.243 μB per atom


[9]
Computed, not measured: CsCoPb after structural relaxation at the GGA-PBE level of DFT.

Lattice parameters (Å, degrees): 7.1342 7.1342 7.1342 90.00 90.00 90.00
Space group F-43m (No. 216)
Inequivalent atoms, fractional coordinates:
Cs 0.0000 0.0000 0.0000 x4
Co 0.2500 0.2500 0.2500 x4
Pb 0.0000 0.0000 0.5000 x4

Computed properties:
Electronic total energy: -2.91 eV per atom
Total magnetic moment: 0.254 μB per atom


[10]
Computed, not measured: KHg3Te4Ir after structural relaxation at the GGA-PBE level of DFT.

Lattice parameters (Å, degrees): 7.6158 7.6158 7.6158 90.00 90.00 90.00
Space group P-43m (No. 215)
Inequivalent atoms, fractional coordinates:
K 0.0000 0.0000 0.0000 x1
Hg 0.0000 0.5000 0.5000 x3
Te 0.3092 0.3092 0.3092 x4
Ir 0.5000 0.5000 0.5000 x1

Computed properties:
Electronic total energy: -2.62 eV per atom
Total magnetic moment: 0.000 μB per atom


[11]
Computed, not measured: NdCo after structural relaxation at the GGA-PBE level of DFT.

Lattice parameters (Å, degrees): 4.2979 4.2979 6.9192 90.00 90.00 120.00
Space group P6_3mc (No. 186)
Inequivalent atoms, fractional coordinates:
Nd 0.3333 0.6667 0.0000 x2
Co 0.3333 0.6667 0.6264 x2

Computed properties:
Total magnetic moment: 0.000 μB per atom
Calculated formation energy: 0.8202 eV per atom


[12]
Computed, not measured: KTe3IrAu after structural relaxation at the GGA-PBE level of DFT.

Lattice parameters (Å, degrees): 3.9856 17.1545 10.7943 90.00 90.00 90.00
Space group Cmcm (No. 63)
Inequivalent atoms, fractional coordinates:
K 0.0000 0.2328 0.2500 x4
Te 0.0000 0.1051 0.5088 x8
Te 0.0000 0.4567 0.7500 x4
Ir 0.0000 0.5000 0.0000 x4
Au 0.0000 0.1135 0.7500 x4

Computed properties:
Electronic total energy: -4.07 eV per atom
Total magnetic moment: 0.001 μB per atom


[13]
Computed, not measured: La2ZnMo after structural relaxation at the GGA-PBE level of DFT.

Lattice parameters (Å, degrees): 7.1143 7.1143 7.1143 90.00 90.00 90.00
Space group F-43m (No. 216)
Inequivalent atoms, fractional coordinates:
La 0.0000 0.0000 0.0000 x4
La 0.2500 0.2500 0.2500 x4
Zn 0.0000 0.0000 0.5000 x4
Mo 0.2500 0.2500 0.7500 x4

Computed properties:
Total magnetic moment: 0.057 μB per atom
Calculated formation energy: 0.3517 eV per atom


[14]
Computed, not measured: DyErGa2Cl2 after structural relaxation at the GGA-PBE level of DFT.

Lattice parameters (Å, degrees): 4.0640 4.0640 10.9070 90.00 90.00 120.00
Space group P3m1 (No. 156)
Inequivalent atoms, fractional coordinates:
Dy 0.0000 0.0000 0.0000 x1
Er 0.0000 0.0000 0.3776 x1
Ga 0.3333 0.6667 0.2229 x1
Ga 0.6667 0.3333 0.1569 x1
Cl 0.3333 0.6667 0.8549 x1
Cl 0.6667 0.3333 0.5204 x1

Computed properties:
Electronic total energy: -4.49 eV per atom
Total magnetic moment: 0.002 μB per atom


[15]
Computed, not measured: Hf5Mg2In after structural relaxation at the GGA-PBE level of DFT.

Lattice parameters (Å, degrees): 4.2463 4.2463 12.2783 90.00 90.00 90.00
Space group P4/mmm (No. 123)
Inequivalent atoms, fractional coordinates:
Hf 0.0000 0.0000 0.0000 x1
Hf 0.0000 0.5000 0.1838 x4
Mg 0.0000 0.0000 0.3786 x2
In 0.5000 0.5000 0.0000 x1

Computed properties:
Electronic total energy: -6.59 eV per atom
Total magnetic moment: 0.009 μB per atom


[16]
Computed, not measured: TaTlCd after structural relaxation at the GGA-PBE level of DFT.

Lattice parameters (Å, degrees): 6.6876 6.6876 6.6876 90.00 90.00 90.00
Space group F-43m (No. 216)
Inequivalent atoms, fractional coordinates:
Ta 0.0000 0.0000 0.0000 x4
Tl 0.2500 0.2500 0.2500 x4
Cd 0.2500 0.2500 0.7500 x4

Computed properties:
Electronic total energy: -4.05 eV per atom
Total magnetic moment: 0.000 μB per atom


[17]
Computed, not measured: Na2Zn2Ga2PdPt after structural relaxation at the GGA-PBE level of DFT.

Lattice parameters (Å, degrees): 4.5119 4.5119 6.3682 90.00 90.00 90.00
Space group P-4m2 (No. 115)
Inequivalent atoms, fractional coordinates:
Na 0.0000 0.0000 0.0000 x1
Na 0.5000 0.5000 0.5000 x1
Zn 0.0000 0.5000 0.7501 x2
Ga 0.0000 0.5000 0.2499 x2
Pd 0.0000 0.0000 0.5000 x1
Pt 0.5000 0.5000 0.0000 x1

Computed properties:
Electronic total energy: -3.08 eV per atom
Total magnetic moment: 0.000 μB per atom


[18]
Computed, not measured: BaSbAu2 after structural relaxation at the GGA-PBE level of DFT.

Lattice parameters (Å, degrees): 7.4927 7.4927 7.4927 90.00 90.00 90.00
Space group F-43m (No. 216)
Inequivalent atoms, fractional coordinates:
Ba 0.0000 0.0000 0.0000 x4
Sb 0.2500 0.2500 0.7500 x4
Au 0.0000 0.0000 0.5000 x4
Au 0.2500 0.2500 0.2500 x4

Computed properties:
Electronic total energy: -3.41 eV per atom


[19]
Computed, not measured: Gd2Cl after structural relaxation at the GGA-PBE level of DFT.

Lattice parameters (Å, degrees): 9.2731 9.2731 9.2731 90.00 90.00 90.00
Space group Fd-3m (No. 227, origin choice 2)
Inequivalent atoms, fractional coordinates:
Gd 0.0000 0.0000 0.0000 x16
Cl 0.1250 0.1250 0.6250 x8

Computed properties:
Electronic total energy: -3.55 eV per atom
Total magnetic moment: 0.113 μB per atom


[20]
Computed, not measured: BeNiMoAs after structural relaxation at the GGA-PBE level of DFT.

Lattice parameters (Å, degrees): 5.8471 5.8471 5.8471 90.00 90.00 90.00
Space group F-43m (No. 216)
Inequivalent atoms, fractional coordinates:
Be 0.0000 0.0000 0.0000 x4
Ni 0.2500 0.2500 0.2500 x4
Mo 0.2500 0.2500 0.7500 x4
As 0.0000 0.0000 0.5000 x4

Computed properties:
Electronic total energy: -6.15 eV per atom
Total magnetic moment: 0.000 μB per atom


[21]
Computed, not measured: PrHoPBr2 after structural relaxation at the GGA-PBE level of DFT.

Lattice parameters (Å, degrees): 4.0849 4.0849 10.7091 90.00 90.00 120.00
Space group P3m1 (No. 156)
Inequivalent atoms, fractional coordinates:
Pr 0.0000 0.0000 0.0000 x1
Ho 0.6667 0.3333 0.2922 x1
P 0.3333 0.6667 0.1569 x1
Br 0.0000 0.0000 0.4583 x1
Br 0.6667 0.3333 0.8197 x1

Computed properties:
Electronic total energy: -5.38 eV per atom
Total magnetic moment: 0.001 μB per atom


[22]
Computed, not measured: GdBe after structural relaxation at the GGA-PBE level of DFT.

Lattice parameters (Å, degrees): 3.8010 3.8010 3.7304 90.00 90.00 120.00
Space group P-6m2 (No. 187)
Inequivalent atoms, fractional coordinates:
Gd 0.0000 0.0000 0.0000 x1
Be 0.3333 0.6667 0.5000 x1

Computed properties:
Electronic total energy: -3.65 eV per atom
Total magnetic moment: 0.030 μB per atom


[23]
Computed, not measured: NaHfBeAu after structural relaxation at the GGA-PBE level of DFT.

Lattice parameters (Å, degrees): 6.5550 6.5550 6.5550 90.00 90.00 90.00
Space group F-43m (No. 216)
Inequivalent atoms, fractional coordinates:
Na 0.0000 0.0000 0.0000 x4
Hf 0.0000 0.0000 0.5000 x4
Be 0.2500 0.2500 0.2500 x4
Au 0.2500 0.2500 0.7500 x4

Computed properties:
Electronic total energy: -4.39 eV per atom
Total magnetic moment: 0.000 μB per atom


[24]
Computed, not measured: Y2NiAu2 after structural relaxation at the GGA-PBE level of DFT.

Lattice parameters (Å, degrees): 3.7640 3.7640 16.1451 90.00 90.00 90.00
Space group I4/mmm (No. 139)
Inequivalent atoms, fractional coordinates:
Y 0.0000 0.0000 0.0979 x4
Ni 0.0000 0.0000 0.5000 x2
Au 0.0000 0.5000 0.2500 x4

Computed properties:
Total magnetic moment: 0.001 μB per atom
Calculated formation energy: -0.3039 eV per atom


[25]
Computed, not measured: RbAuSO after structural relaxation at the GGA-PBE level of DFT.

Lattice parameters (Å, degrees): 4.5612 6.7071 6.6453 90.00 90.00 90.00
Space group Pmc2_1 (No. 26)
Inequivalent atoms, fractional coordinates:
Rb 0.0000 0.1486 0.0000 x2
Au 0.5000 0.4590 0.4081 x2
S 0.0000 0.3550 0.4702 x2
O 0.5000 0.3281 0.1329 x2

Computed properties:
Electronic total energy: -3.76 eV per atom


[26]
Computed, not measured: ZrZnIr after structural relaxation at the GGA-PBE level of DFT.

Lattice parameters (Å, degrees): 6.2584 6.2584 6.2584 90.00 90.00 90.00
Space group F-43m (No. 216)
Inequivalent atoms, fractional coordinates:
Zr 0.0000 0.0000 0.0000 x4
Zn 0.2500 0.2500 0.2500 x4
Ir 0.2500 0.2500 0.7500 x4

Computed properties:
Total magnetic moment: 0.000 μB per atom
Calculated formation energy: 0.0521 eV per atom


[27]
Computed, not measured: NdTc4Ge2 after structural relaxation at the GGA-PBE level of DFT.

Lattice parameters (Å, degrees): 4.1735 14.4031 4.1496 90.00 90.00 90.00
Space group Cmmm (No. 65)
Inequivalent atoms, fractional coordinates:
Nd 0.0000 0.0000 0.0000 x2
Tc 0.0000 0.1964 0.5000 x4
Tc 0.0000 0.3009 0.0000 x4
Ge 0.0000 0.4111 0.5000 x4

Computed properties:
Electronic total energy: -8.32 eV per atom
Total magnetic moment: 0.002 μB per atom